## FeW2Au (PBE-GGA)

Data for FeW2Au after structural relaxation.

a b c (Å): 3.415 4.197 8.509
angles (deg): 90.00 90.00 90.00
Atoms (fractional coordinates):
Fe1 0.000 0.000 0.000
Fe2 0.500 0.500 0.500
W1 0.000 0.500 0.263
W2 0.000 0.500 0.737
W3 0.500 0.000 0.237
W4 0.500 0.000 0.763
Au1 0.000 0.000 0.500
Au2 0.500 0.500 0.000

Summary:
The space group is No. 71.


## FeW2Au (PBE-GGA)

Data for FeW2Au after structural relaxation.

a b c (Å): 3.842 3.842 4.119
angles (deg): 90.00 90.00 90.00
Atoms (fractional coordinates):
Fe1 0.000 0.000 0.000
W1 0.000 0.500 0.500
W2 0.500 0.000 0.500
Au1 0.500 0.500 0.000

Summary:
The space group is No. 123.


## Fe2WAu (PBE-GGA)

Data for Fe2WAu after structural relaxation.

a b c (Å): 6.004 6.004 6.004
angles (deg): 90.00 90.00 90.00
Atoms (fractional coordinates):
Fe1 0.250 0.250 0.250
Fe2 0.250 0.250 0.750
Fe3 0.250 0.750 0.250
Fe4 0.250 0.750 0.750
Fe5 0.750 0.250 0.250
Fe6 0.750 0.250 0.750
Fe7 0.750 0.750 0.250
Fe8 0.750 0.750 0.750
W1 0.000 0.000 0.000
W2 0.000 0.500 0.500
W3 0.500 0.000 0.500
W4 0.500 0.500 0.000
Au1 0.000 0.000 0.500
Au2 0.000 0.500 0.000
Au3 0.500 0.000 0.000
Au4 0.500 0.500 0.500

Summary:
The space group is No. 225.


## Fe2WAu (PBE-GGA)

Data for Fe2WAu after structural relaxation.

a b c (Å): 3.768 3.768 7.814
angles (deg): 90.00 90.00 90.00
Atoms (fractional coordinates):
Fe1 0.000 0.000 0.000
Fe2 0.000 0.500 0.250
Fe3 0.500 0.000 0.750
Fe4 0.500 0.500 0.500
W1 0.000 0.000 0.500
W2 0.500 0.500 0.000
Au1 0.000 0.500 0.750
Au2 0.500 0.000 0.250

Summary:
The space group is No. 119.


## FeW3Au (PBE-GGA)

Data for FeW3Au after structural relaxation.

a b c (Å): 4.458 4.458 4.458
angles (deg): 90.00 90.00 90.00
Atoms (fractional coordinates):
Fe1 0.000 0.000 0.000
W1 0.000 0.000 0.500
W2 0.000 0.500 0.000
W3 0.500 0.000 0.000
Au1 0.500 0.500 0.500

Summary:
The space group is No. 221.


## FeW2Au (PBE-GGA)

Data for FeW2Au after structural relaxation.

a b c (Å): 3.271 4.280 8.818
angles (deg): 90.00 90.00 90.00
Atoms (fractional coordinates):
Fe1 0.000 0.000 0.000
Fe2 0.500 0.500 0.000
W1 0.000 0.500 0.230
W2 0.000 0.500 0.770
W3 0.500 0.000 0.230
W4 0.500 0.000 0.770
Au1 0.000 0.000 0.500
Au2 0.500 0.500 0.500

Summary:
The space group is No. 65.


## FeW3Au (PBE-GGA)

Data for FeW3Au after structural relaxation.

a b c (Å): 4.786 4.786 4.786
angles (deg): 90.00 90.00 90.00
Atoms (fractional coordinates):
Fe1 0.000 0.000 0.000
W1 0.000 0.500 0.500
W2 0.500 0.000 0.500
W3 0.500 0.500 0.000
Au1 0.500 0.500 0.500

Summary:
The space group is No. 221.


## FeW2Au (PBE-GGA)

Data for FeW2Au after structural relaxation.

a b c (Å): 2.789 2.789 27.327
angles (deg): 90.00 90.00 120.00
Atoms (fractional coordinates):
Fe1 0.000 0.000 0.000
Fe2 0.333 0.667 0.667
Fe3 0.667 0.333 0.333
W1 0.000 0.000 0.257
W2 0.000 0.000 0.743
W3 0.333 0.667 0.410
W4 0.333 0.667 0.924
W5 0.667 0.333 0.076
W6 0.667 0.333 0.590
Au1 0.000 0.000 0.500
Au2 0.333 0.667 0.167
Au3 0.667 0.333 0.833

Summary:
The space group is No. 166.


## Fe2WAu (PBE-GGA)

Data for Fe2WAu after structural relaxation.

a b c (Å): 2.711 2.711 7.852
angles (deg): 90.00 90.00 90.00
Atoms (fractional coordinates):
Fe1 0.000 0.000 0.241
Fe2 0.000 0.000 0.759
W1 0.500 0.500 0.000
Au1 0.500 0.500 0.500

Summary:
The space group is No. 123.


## FeW2Au (PBE-GGA)

Data for FeW2Au after structural relaxation.

a b c (Å): 9.185 2.721 5.000
angles (deg): 90.00 97.76 90.00
Atoms (fractional coordinates):
Fe1 0.000 0.000 0.000
Fe2 0.500 0.500 0.000
W1 0.255 0.000 0.758
W2 0.498 0.000 0.502
W3 0.755 0.500 0.758
W4 0.998 0.500 0.502
Au1 0.248 0.500 0.241
Au2 0.748 0.000 0.241

Summary:
The space group is No. 8.


## FeW2Au (PBE-GGA)

Data for FeW2Au after structural relaxation.

a b c (Å): 2.755 2.755 7.894
angles (deg): 90.00 90.00 90.00
Atoms (fractional coordinates):
Fe1 0.000 0.000 0.000
W1 0.500 0.500 0.218
W2 0.500 0.500 0.782
Au1 0.000 0.000 0.500

Summary:
The space group is No. 123.


## FeW2Au (PBE-GGA)

Data for FeW2Au after structural relaxation.

a b c (Å): 6.295 6.295 6.295
angles (deg): 90.00 90.00 90.00
Atoms (fractional coordinates):
Fe1 0.000 0.000 0.000
Fe2 0.000 0.500 0.500
Fe3 0.500 0.000 0.500
Fe4 0.500 0.500 0.000
W1 0.250 0.250 0.250
W2 0.250 0.250 0.750
W3 0.250 0.750 0.250
W4 0.250 0.750 0.750
W5 0.750 0.250 0.250
W6 0.750 0.250 0.750
W7 0.750 0.750 0.250
W8 0.750 0.750 0.750
Au1 0.000 0.000 0.500
Au2 0.000 0.500 0.000
Au3 0.500 0.000 0.000
Au4 0.500 0.500 0.500

Summary:
The space group is No. 225.


## Fe2WAu (PBE-GGA)

Data for Fe2WAu after structural relaxation.

a b c (Å): 3.153 3.153 5.680
angles (deg): 90.00 90.00 90.00
Atoms (fractional coordinates):
Fe1 0.000 0.000 0.222
Fe2 0.000 0.000 0.778
W1 0.500 0.500 0.000
Au1 0.500 0.500 0.500

Summary:
The space group is No. 123.


## Fe2WAu (PBE-GGA)

Data for Fe2WAu after structural relaxation.

a b c (Å): 6.155 6.155 6.155
angles (deg): 90.00 90.00 90.00
Atoms (fractional coordinates):
Fe1 0.000 0.000 0.000
Fe2 0.000 0.500 0.500
Fe3 0.250 0.250 0.250
Fe4 0.250 0.750 0.750
Fe5 0.500 0.000 0.500
Fe6 0.500 0.500 0.000
Fe7 0.750 0.250 0.750
Fe8 0.750 0.750 0.250
W1 0.000 0.000 0.500
W2 0.000 0.500 0.000
W3 0.500 0.000 0.000
W4 0.500 0.500 0.500
Au1 0.250 0.250 0.750
Au2 0.250 0.750 0.250
Au3 0.750 0.250 0.250
Au4 0.750 0.750 0.750

Summary:
The space group is No. 216.


## FeW2Au (PBE-GGA)

Data for FeW2Au after structural relaxation.

a b c (Å): 2.698 4.061 5.680
angles (deg): 90.00 90.00 90.00
Atoms (fractional coordinates):
Fe1 0.000 0.000 0.000
W1 0.000 0.000 0.486
W2 0.500 0.500 0.234
Au1 0.500 0.500 0.753

Summary:
The space group is No. 25.


## Fe2WAu (PBE-GGA)

Data for Fe2WAu after structural relaxation.

a b c (Å): 9.315 2.855 4.482
angles (deg): 90.00 108.90 90.00
Atoms (fractional coordinates):
Fe1 0.000 0.000 0.000
Fe2 0.212 0.500 0.270
Fe3 0.500 0.500 0.000
Fe4 0.712 0.000 0.270
W1 0.245 0.000 0.803
W2 0.745 0.500 0.803
Au1 0.469 0.000 0.477
Au2 0.969 0.500 0.477

Summary:
The space group is No. 8.


## Fe2WAu (PBE-GGA)

Data for Fe2WAu after structural relaxation.

a b c (Å): 2.842 2.842 25.526
angles (deg): 90.00 90.00 120.00
Atoms (fractional coordinates):
Fe1 0.000 0.000 0.246
Fe2 0.000 0.000 0.754
Fe3 0.333 0.667 0.421
Fe4 0.333 0.667 0.913
Fe5 0.667 0.333 0.087
Fe6 0.667 0.333 0.579
W1 0.000 0.000 0.500
W2 0.333 0.667 0.167
W3 0.667 0.333 0.833
Au1 0.000 0.000 0.000
Au2 0.333 0.667 0.667
Au3 0.667 0.333 0.333

Summary:
The space group is No. 166.


## Fe2WAu (PBE-GGA)

Data for Fe2WAu after structural relaxation.

a b c (Å): 3.206 4.318 8.462
angles (deg): 90.00 90.00 90.00
Atoms (fractional coordinates):
Fe1 0.000 0.000 0.242
Fe2 0.000 0.000 0.758
Fe3 0.500 0.500 0.242
Fe4 0.500 0.500 0.758
W1 0.000 0.500 0.000
W2 0.500 0.000 0.000
Au1 0.000 0.500 0.500
Au2 0.500 0.000 0.500

Summary:
The space group is No. 65.


## Fe2W2Au (PBE-GGA)

Data for Fe2W2Au after structural relaxation.

a b c (Å): 7.121 7.121 2.805
angles (deg): 90.00 90.00 90.00
Atoms (fractional coordinates):
Fe1 0.132 0.368 0.000
Fe2 0.368 0.868 0.000
Fe3 0.632 0.132 0.000
Fe4 0.868 0.632 0.000
W1 0.162 0.662 0.500
W2 0.338 0.162 0.500
W3 0.662 0.838 0.500
W4 0.838 0.338 0.500
Au1 0.000 0.000 0.000
Au2 0.500 0.500 0.000

Summary:
The space group is No. 127.


## FeWAu4 (PBE-GGA)

Data for FeWAu4 after structural relaxation.

a b c (Å): 5.371 5.371 5.371
angles (deg): 60.00 60.00 60.00
Atoms (fractional coordinates):
Fe1 0.000 0.000 0.000
W1 0.750 0.750 0.750
Au1 0.375 0.375 0.375
Au2 0.375 0.375 0.875
Au3 0.375 0.875 0.375
Au4 0.875 0.375 0.375

Summary:
The space group is No. 216.


Result set for uncorrected energy: -9.07; -9.09; -7.92; -8.02; -8.83; -9.07; -6.96; -9.01; -8.03; -9.04; -9.15; -8.77; -8.06; -7.85; -9.07; -7.99; -7.95; -8.08; -9.00; -4.96 eV per atom, one per record in the order listed.
Result set for total magnetization: 3.5; 1.6; 0.0; 5.6; 0.0; 4.0; 0.0; 2.2; 4.3; 4.4; 0.0; 8.0; 2.6; 17.1; 2.2; 7.3; 14.3; 9.4; 0.0; 0.7 μB/cell, one per record in the order listed.